The following is a PBE calculation of a relaxed AcPm2Os crystal, from Alexandria.

abc: 11.1447 11.1447 11.1447
angles: 20.56 20.56 20.56
Sites, in units of the cell vectors:
Ac (0.0000, 0.0000, 0.0000)
Pm (0.1178, 0.1178, 0.1178)
Pm (0.8822, 0.8822, 0.8822)
Os (0.5000, 0.5000, 0.5000)

Summary:
N(E_F), states/eV/atom: 1.262
E above lowest polymorph, eV per atom: 0.358
V, Å³/atom: 37.36
Formation energy, eV/atom: 0.264